The following is a GGA-PBEsol calculation of an optimized crystal structure of BaPPd3, from the Alexandria database.

a = 4.664 Å, b = 4.664 Å, c = 4.664 Å
α = 90.00°, β = 90.00°, γ = 90.00°
Element x y z (fractional)
Ba 0.000 0.000 0.000
P 0.500 0.500 0.500
Pd 0.000 0.500 0.500
Pd 0.500 0.000 0.500
Pd 0.500 0.500 0.000

Output
As for the symmetry: Pm-3m, No. 221. As for the calculated formation energy: -0.58 eV/atom.


The following is a GGA-PBEsol calculation of an optimized crystal structure of Sr2CdCu, from the Alexandria database.

a = 3.766 Å, b = 3.766 Å, c = 7.970 Å
α = 90.00°, β = 90.00°, γ = 90.00°
Element x y z (fractional)
Sr 0.000 0.000 0.230
Sr 0.000 0.000 0.770
Cd 0.500 0.500 0.500
Cu 0.500 0.500 0.000

Output
As for the symmetry: P4/mmm, No. 123. As for the calculated formation energy: -0.09 eV/atom.


Which of these has the lowest calculated formation energy? BaPPd3